[1]
Computed, not measured: BaTcW2 after structural relaxation at the PBE level of DFT.

Formation energy from the elements   1000 meV/atom
Excess energy over the best structure of this formula in the dataset   0.232 eV per atom

Cell and atoms, written as CIF:
```
data_BaTcW2
_chemical_formula_sum 'Ba3 Tc3 W6'
_cell_length_a 3.1355
_cell_length_b 3.1355
_cell_length_c 29.2494
_cell_angle_alpha 90.00
_cell_angle_beta 90.00
_cell_angle_gamma 120.00
_space_group_name_H-M_alt 'R 3 m'
_space_group_IT_number 160
_space_group_name_Hall 'R 3 -2"'
loop_
_atom_site_label
_atom_site_type_symbol
_atom_site_fract_x
_atom_site_fract_y
_atom_site_fract_z
_atom_site_occupancy
Ba1 Ba 0.0000 0.0000 0.0000 1
Tc1 Tc 0.0000 0.0000 0.2336 1
W1 W 0.0000 0.0000 0.5032 1
W2 W 0.0000 0.0000 0.7703 1
```

[2]
Computed, not measured: BaTc3W after structural relaxation at the PBE level of DFT.

Formation energy from the elements   1279 meV/atom
Excess energy over the best structure of this formula in the dataset   0.000 eV per atom

Cell and atoms, written as CIF:
```
data_BaTc3W
_chemical_formula_sum 'Ba1 Tc3 W1'
_cell_length_a 4.8837
_cell_length_b 4.8837
_cell_length_c 4.8837
_cell_angle_alpha 90.00
_cell_angle_beta 90.00
_cell_angle_gamma 90.00
_space_group_name_H-M_alt 'P m -3 m'
_space_group_IT_number 221
_space_group_name_Hall '-P 4 2 3'
loop_
_atom_site_label
_atom_site_type_symbol
_atom_site_fract_x
_atom_site_fract_y
_atom_site_fract_z
_atom_site_occupancy
Ba1 Ba 0.0000 0.0000 0.0000 1
Tc1 Tc 0.0000 0.5000 0.5000 1
W1 W 0.5000 0.5000 0.5000 1
```

[3]
Computed, not measured: BaTc3W after structural relaxation at the PBE level of DFT.

Formation energy from the elements   3457 meV/atom
Excess energy over the best structure of this formula in the dataset   2.178 eV per atom

Cell and atoms, written as CIF:
```
data_BaTc3W
_chemical_formula_sum 'Ba1 Tc3 W1'
_cell_length_a 4.8133
_cell_length_b 4.8133
_cell_length_c 4.8133
_cell_angle_alpha 90.00
_cell_angle_beta 90.00
_cell_angle_gamma 90.00
_space_group_name_H-M_alt 'P m -3 m'
_space_group_IT_number 221
_space_group_name_Hall '-P 4 2 3'
loop_
_atom_site_label
_atom_site_type_symbol
_atom_site_fract_x
_atom_site_fract_y
_atom_site_fract_z
_atom_site_occupancy
Ba1 Ba 0.0000 0.0000 0.0000 1
Tc1 Tc 0.0000 0.0000 0.5000 1
W1 W 0.5000 0.5000 0.5000 1
```

[4]
Computed, not measured: BaTcW2 after structural relaxation at the PBE level of DFT.

Formation energy from the elements   1548 meV/atom
Excess energy over the best structure of this formula in the dataset   0.780 eV per atom

Cell and atoms, written as CIF:
```
data_BaTcW2
_chemical_formula_sum 'Ba2 Tc2 W4'
_cell_length_a 5.4294
_cell_length_b 10.3860
_cell_length_c 2.8185
_cell_angle_alpha 90.00
_cell_angle_beta 90.00
_cell_angle_gamma 90.00
_space_group_name_H-M_alt 'C m m m'
_space_group_IT_number 65
_space_group_name_Hall '-C 2 2'
loop_
_atom_site_label
_atom_site_type_symbol
_atom_site_fract_x
_atom_site_fract_y
_atom_site_fract_z
_atom_site_occupancy
Ba1 Ba 0.0000 0.0000 0.0000 1
Tc1 Tc 0.0000 0.5000 0.0000 1
W1 W 0.2500 0.2500 0.5000 1
```

[5]
Computed, not measured: BaYTc2 after structural relaxation at the PBE level of DFT.

Formation energy from the elements   1036 meV/atom
Excess energy over the best structure of this formula in the dataset   0.697 eV per atom

Cell and atoms, written as CIF:
```
data_BaYTc2
_chemical_formula_sum 'Ba2 Y2 Tc4'
_cell_length_a 4.1794
_cell_length_b 4.1794
_cell_length_c 10.1844
_cell_angle_alpha 90.00
_cell_angle_beta 90.00
_cell_angle_gamma 90.00
_space_group_name_H-M_alt 'I -4 m 2'
_space_group_IT_number 119
_space_group_name_Hall 'I -4 -2'
loop_
_atom_site_label
_atom_site_type_symbol
_atom_site_fract_x
_atom_site_fract_y
_atom_site_fract_z
_atom_site_occupancy
Ba1 Ba 0.0000 0.0000 0.0000 1
Y1 Y 0.0000 0.5000 0.2500 1
Tc1 Tc 0.0000 0.0000 0.5000 1
Tc2 Tc 0.0000 0.5000 0.7500 1
```

[6]
Computed, not measured: Ba3YTc after structural relaxation at the PBE level of DFT.

Formation energy from the elements   1525 meV/atom
Excess energy over the best structure of this formula in the dataset   0.820 eV per atom

Cell and atoms, written as CIF:
```
data_Ba3YTc
_chemical_formula_sum 'Ba3 Y1 Tc1'
_cell_length_a 6.3711
_cell_length_b 6.3711
_cell_length_c 6.3711
_cell_angle_alpha 90.00
_cell_angle_beta 90.00
_cell_angle_gamma 90.00
_space_group_name_H-M_alt 'P m -3 m'
_space_group_IT_number 221
_space_group_name_Hall '-P 4 2 3'
loop_
_atom_site_label
_atom_site_type_symbol
_atom_site_fract_x
_atom_site_fract_y
_atom_site_fract_z
_atom_site_occupancy
Ba1 Ba 0.0000 0.0000 0.5000 1
Y1 Y 0.0000 0.0000 0.0000 1
Tc1 Tc 0.5000 0.5000 0.5000 1
```